A plane-wave DFT calculation with PBE-GGA was carried out for crystalline Ho6Sb3Te2Pb at its relaxed geometry.

a b c (Å): 4.369 8.771 9.771
angles (deg): 102.87 102.92 90.00
Atoms (fractional coordinates):
Ho 0.665 0.076 0.331
Ho 0.002 0.751 0.004
Ho 0.336 0.410 0.672
Ho 0.998 0.249 0.996
Ho 0.664 0.590 0.328
Ho 0.335 0.924 0.669
Te 0.168 0.336 0.335
Te 0.832 0.664 0.665
Sb 0.831 0.167 0.662
Sb 0.500 0.500 0.000
Sb 0.169 0.833 0.338
Pb 0.500 0.000 0.000

Properties
Total moment = 0.0000 μB/atom
Formation energy (no corrections) = -13.15 eV per formula unit